# 1
Here is a geometry-optimized SmCoSe structure from the Alexandria database. Energies are from PBE.

Lattice parameters (Å, degrees): 8.3358 4.1190 4.1190 89.57 90.00 90.00
Fractional coordinates of all 6 atoms:
Sm: 0.2499 0.0000 0.0000
Sm: 0.7501 0.0000 0.0000
Co: 0.0000 0.6349 0.6349
Co: 0.5000 0.6361 0.6361
Se: 0.2502 0.5037 0.5037
Se: 0.7498 0.5037 0.5037

Values from the calculation:
crystal system: orthorhombic
electronic total energy: -5.61 eV per atom
ρ: 6.77 g cm⁻³
Fermi-level density of states: 4.663 states/eV per cell
space group: Amm2, No. 38
total moment: 0.4 μB/cell

# 2
Here is a geometry-optimized Co3Sn2Se2 structure from the Alexandria database. Energies are from PBE.

Lattice parameters (Å, degrees): 5.5691 5.5691 5.5691 58.51 58.51 58.51
Fractional coordinates of all 7 atoms:
Co: 0.0000 0.5000 0.5000
Co: 0.5000 0.0000 0.5000
Co: 0.5000 0.5000 0.0000
Sn: 0.0000 0.0000 0.0000
Sn: 0.5000 0.5000 0.5000
Se: 0.2135 0.2135 0.2135
Se: 0.7865 0.7865 0.7865

Values from the calculation:
crystal system: trigonal
electronic total energy: -5.39 eV per atom
ρ: 8.05 g cm⁻³
Fermi-level density of states: 3.466 states/eV per cell
space group: R-3m, No. 166
total moment: 0.9 μB/cell